Record 1
Ce2Er2SiIr4: optimized geometry, PBE.

Unit cell a=6.4214 b=6.4214 c=6.4214 alpha=120.92 beta=120.92 gamma=88.41
Closest atoms and distances in Å follow each position.
Element x y z (fractional)
Ce  0.1939  0.1939  0.0000  4 Ir 2.79, 1 Si 2.82
Ce  0.8061  0.8061  0.0000  4 Ir 2.79, 1 Si 2.82
Er  0.2500  0.7500  0.5000  4 Ce 3.21, 8 Ir 3.21
Er  0.7500  0.2500  0.5000  4 Ce 3.21, 8 Ir 3.21
Si  0.5000  0.5000  0.0000  4 Ir 2.33
Ir  0.2396  0.2396  0.4792  1 Si 2.33
Ir  0.2396  0.7604  0.0000  1 Si 2.33
Ir  0.7604  0.2396  0.0000  1 Si 2.33
Ir  0.7604  0.7604  0.5208  1 Si 2.33

Computed properties:
**Crystal system**: tetragonal
**Space-group type**: I4/mmm (139)
**E_form (uncorrected)**: -440 meV per atom
**Total magnetic moment**: 0.513 μB per cell

---

Record 2
CeErTcIr: optimized geometry, PBE.

Unit cell a=4.8574 b=4.8574 c=4.8574 alpha=60.00 beta=60.00 gamma=60.00
Closest atoms and distances in Å follow each position.
Element x y z (fractional)
Ce  0.0000  0.0000  0.0000  4 Tc 2.97, 4 Ir 2.97
Er  0.5000  0.5000  0.5000  4 Tc 2.97, 4 Ir 2.97
Tc  0.2500  0.2500  0.2500  4 Ce 2.97, 4 Er 2.97
Ir  0.7500  0.7500  0.7500  4 Ce 2.97, 4 Er 2.97

Computed properties:
**Crystal system**: cubic
**Space-group type**: F-43m (216)
**ΔE_f**: -404.5 meV per atom
**Total magnetic moment**: 0.000 μB per cell

---

- total magnetic moment of number 2 (CeErTcIr)?
  0.000 μB per cell

---

What did the second record say?
CeErTcIr: optimized geometry, PBE.

Unit cell a=4.8574 b=4.8574 c=4.8574 alpha=60.00 beta=60.00 gamma=60.00
Closest atoms and distances in Å follow each position.
Element x y z (fractional)
Ce  0.0000  0.0000  0.0000  4 Tc 2.97, 4 Ir 2.97
Er  0.5000  0.5000  0.5000  4 Tc 2.97, 4 Ir 2.97
Tc  0.2500  0.2500  0.2500  4 Ce 2.97, 4 Er 2.97
Ir  0.7500  0.7500  0.7500  4 Ce 2.97, 4 Er 2.97

Computed properties:
**Crystal system**: cubic
**Space-group type**: F-43m (216)
**ΔE_f**: -404.5 meV per atom
**Total magnetic moment**: 0.000 μB per cell